<w>
The following is a PBE-GGA calculation of a geometry-optimized ZnSiPO structure, from the Open Quantum Materials Database.

The structure belongs to space group P4/nmm (No. 129, origin choice 2); the cell edges are 4.0476, 4.0476 and 8.2364 Å and the angles 90.00°, 90.00° and 90.00°. The asymmetric unit holds Zn at (0.2500, 0.2500, 0.0408), Si at (0.2500, 0.7500, 0.5000), P at (0.2500, 0.2500, 0.3564) and O at (0.2500, 0.7500, 0.0000).

---

<x>
The following is a PBE-GGA calculation of a geometry-optimized ZnSiPO structure, from the Open Quantum Materials Database.

The structure belongs to space group P4/nmm (No. 129, origin choice 2); the cell edges are 3.5277, 3.5277 and 8.8471 Å and the angles 90.00°, 90.00° and 90.00°. The asymmetric unit holds Zn at (0.2500, 0.7500, 0.0000), Si at (0.2500, 0.2500, 0.3907), P at (0.2500, 0.2500, 0.8117) and O at (0.2500, 0.7500, 0.5000).

---

<y>
The following is a PBE-GGA calculation of a geometry-optimized ZnSiPO structure, from the Open Quantum Materials Database.

The structure belongs to space group Pmc2_1 (No. 26); the cell edges are 3.7215, 5.7189 and 5.6122 Å and the angles 90.00°, 90.00° and 90.00°. The asymmetric unit holds Zn at (0.0000, 0.1646, 0.0000), Si at (0.5000, 0.2820, 0.5669), P at (0.5000, 0.3339, 0.1659) and O at (0.0000, 0.1845, 0.6270).

---

<z>
The following is a PBE-GGA calculation of a geometry-optimized ZnSiPO structure, from the Open Quantum Materials Database.

The structure belongs to space group Pmc2_1 (No. 26); the cell edges are 3.4591, 5.8762 and 6.0438 Å and the angles 90.00°, 90.00° and 90.00°. The asymmetric unit holds Zn at (0.0000, 0.2001, 0.0000), Si at (0.5000, 0.3932, 0.5092), P at (0.0000, 0.1823, 0.3893) and O at (0.5000, 0.3737, 0.8208).

---

Comparing the structures above, <z> comes out on top by 15 meV per atom.